An optimized crystal structure of LiMgVO4, computed with GGA+U.

Cell and atoms, written as CIF:
```
data_LiMgVO4
_chemical_formula_sum 'Li4 Mg4 V4 O16'
_symmetry_space_group_name_H-M 'I m m a'
_symmetry_Int_Tables_number 74
_symmetry_space_group_name_Hall '-I 2b 2'
_cell_length_a 5.832
_cell_length_b 6.051
_cell_length_c 8.289
_cell_angle_alpha 90.00
_cell_angle_beta 90.00
_cell_angle_gamma 90.00
loop_
_atom_site_label
_atom_site_type_symbol
_atom_site_fract_x
_atom_site_fract_y
_atom_site_fract_z
Li1 Li 0.250 0.250 0.250
Mg1 Mg 0.000 0.000 0.000
V1 V 0.000 0.250 0.623
O1 O 0.000 0.017 0.744
O2 O 0.248 0.250 0.000
```

The magnetization comes out at 0.00 μB/f.u. The total energy is -6.650 eV per atom. The calculation puts the offset from the most stable computed form at 12 meV per atom.